## w
Tb3Tm2Th2 (PBE, optimized geometry); symmetry = P-1; density of states at the Fermi level = 1.31 states/eV/atom
1.0
3.5617 0.0000 0.0000
-1.7787 7.6922 0.0000
-0.0122 -3.2576 8.0783
Tb Tm Th
3 2 2
Direct
0.0000 0.0000 0.0000
0.1381 0.2768 0.4318
0.8619 0.7232 0.5682
0.2836 0.5680 0.8611
0.7164 0.4320 0.1389
0.4276 0.8556 0.2864
0.5724 0.1444 0.7136



## x
Tb3Tm2Th2 (PBE, optimized geometry); symmetry = C2/m; density of states at the Fermi level = 1.63 states/eV/atom
1.0
5.6176 -2.5112 0.0000
5.6176 2.5112 0.0000
-1.1118 0.0000 7.8547
Tb Tm Th
3 2 2
Direct
0.0000 0.0000 0.0000
0.2861 0.2861 0.8509
0.7139 0.7139 0.1491
0.4295 0.4295 0.2917
0.5705 0.5705 0.7083
0.1425 0.1425 0.4314
0.8575 0.8575 0.5686



w is favored, and the nearest alternative lies 6 meV per atom above it.



## w
TbTm9Th2 (PBE, optimized geometry); symmetry = P4/mmm; density of states at the Fermi level = 1.65 states/eV/atom
1.0
4.9645 0.0000 0.0000
0.0000 4.9645 0.0000
0.0000 0.0000 14.9026
Tb Tm Th
1 9 2
Direct
0.0000 0.0000 0.0000
0.0000 0.5000 0.1679
0.0000 0.5000 0.5000
0.0000 0.5000 0.8321
0.5000 0.0000 0.1679
0.5000 0.0000 0.5000
0.5000 0.0000 0.8321
0.5000 0.5000 0.0000
0.5000 0.5000 0.3329
0.5000 0.5000 0.6671
0.0000 0.0000 0.3342
0.0000 0.0000 0.6658



## x
TbTm9Th2 (PBE, optimized geometry); symmetry = P6/mmm; density of states at the Fermi level = 1.87 states/eV/atom
1.0
11.2146 0.0000 0.0000
-5.6073 9.7121 0.0000
0.0000 0.0000 3.4564
Tb Tm Th
1 9 2
Direct
0.0000 0.0000 0.0000
0.0000 0.5000 0.0000
0.1745 0.3491 0.5000
0.1745 0.8255 0.5000
0.3491 0.1745 0.5000
0.5000 0.0000 0.0000
0.5000 0.5000 0.0000
0.6509 0.8255 0.5000
0.8255 0.1745 0.5000
0.8255 0.6509 0.5000
0.3333 0.6667 0.0000
0.6667 0.3333 0.0000



w is favored, and the nearest alternative lies 76 meV per atom above it.



## w
TbTm4Th2 (PBE, optimized geometry); symmetry = I4/mmm; density of states at the Fermi level = 1.23 states/eV/atom
1.0
-4.1468 4.1468 3.3428
4.1468 -4.1468 3.3428
4.1468 4.1468 -3.3428
Tb Tm Th
1 4 2
Direct
0.0000 0.0000 0.0000
0.2977 0.2977 0.5953
0.2977 0.7023 0.0000
0.7023 0.2977 0.0000
0.7023 0.7023 0.4047
0.2500 0.7500 0.5000
0.7500 0.2500 0.5000



## x
TbTm4Th2 (PBE, optimized geometry); symmetry = P-1; density of states at the Fermi level = 1.59 states/eV/atom
1.0
3.4433 0.0000 0.0000
1.0944 8.4271 0.0000
0.0980 4.0044 7.5976
Tb Tm Th
1 4 2
Direct
0.0000 0.0000 0.0000
0.0359 0.4495 0.7158
0.3793 0.8479 0.4201
0.6207 0.1521 0.5799
0.9641 0.5505 0.2842
0.4140 0.7190 0.8672
0.5860 0.2810 0.1328



x is favored, and the nearest alternative lies 151 meV per atom above it.



## w
Tb6TmTh (PBE, optimized geometry); symmetry = P-1; density of states at the Fermi level = 1.77 states/eV/atom
1.0
6.5979 0.0000 0.0000
0.2646 6.6096 0.0000
0.3482 3.2889 5.8778
Tb Tm Th
6 1 1
Direct
0.2458 0.0686 0.0106
0.2520 0.5665 0.0076
0.2532 0.0270 0.5120
0.7468 0.9730 0.4880
0.7480 0.4335 0.9924
0.7542 0.9314 0.9894
0.0000 0.5000 0.5000
0.5000 0.5000 0.5000



## x
Tb6TmTh (PBE, optimized geometry); symmetry = P4/mmm; density of states at the Fermi level = 1.57 states/eV/atom
1.0
5.0370 0.0000 0.0000
0.0000 5.0370 0.0000
0.0000 0.0000 10.0109
Tb Tm Th
6 1 1
Direct
0.0000 0.0000 0.0000
0.0000 0.0000 0.5000
0.0000 0.5000 0.2488
0.0000 0.5000 0.7512
0.5000 0.0000 0.2488
0.5000 0.0000 0.7512
0.5000 0.5000 0.5000
0.5000 0.5000 0.0000



x is favored, and the nearest alternative lies 180 meV per atom above it.



## w
TbTm3Th (PBE, optimized geometry); symmetry = C2/m; density of states at the Fermi level = 1.34 states/eV/atom
1.0
2.6271 -5.9970 0.0000
2.6271 5.9970 0.0000
-0.0590 0.0000 10.8110
Tb Tm Th
2 6 2
Direct
0.1600 0.8400 0.0000
0.8400 0.1600 0.0000
0.0038 0.0038 0.7629
0.3343 0.6603 0.2713
0.3397 0.6657 0.7287
0.6603 0.3343 0.2713
0.6657 0.3397 0.7287
0.9962 0.9962 0.2371
0.1427 0.8573 0.5000
0.8573 0.1427 0.5000



## x
TbTm3Th (PBE, optimized geometry); symmetry = C2/c; density of states at the Fermi level = 1.38 states/eV/atom
1.0
4.4185 -7.2874 0.0000
4.4185 7.2874 0.0000
-2.1309 0.0000 9.7814
Tb Tm Th
4 12 4
Direct
0.0094 0.9906 0.7500
0.4010 0.5990 0.2500
0.5990 0.4010 0.7500
0.9906 0.0094 0.2500
0.0272 0.5744 0.6758
0.1121 0.7355 0.0495
0.2645 0.8879 0.4505
0.3075 0.5092 0.8823
0.4256 0.9728 0.8242
0.4908 0.6925 0.6177
0.5092 0.3075 0.3823
0.5744 0.0272 0.1758
0.6925 0.4908 0.1177
0.7355 0.1121 0.5495
0.8879 0.2645 0.9505
0.9728 0.4256 0.3242
0.1810 0.2723 0.5426
0.2723 0.1810 0.0426
0.7277 0.8190 0.9574
0.8190 0.7277 0.4574



x is favored, and the nearest alternative lies 252 meV per atom above it.



## w
Tb8TmTh2 (PBE, optimized geometry); symmetry = C2/m; density of states at the Fermi level = 1.54 states/eV/atom
1.0
9.4175 -3.5155 0.0000
9.4175 3.5155 0.0000
-0.2217 0.0000 5.6125
Tb Tm Th
8 1 2
Direct
0.0469 0.0469 0.2359
0.0994 0.6398 0.2622
0.3183 0.3183 0.7689
0.3602 0.9006 0.7378
0.6398 0.0994 0.2622
0.6817 0.6817 0.2311
0.9006 0.3602 0.7378
0.9531 0.9531 0.7641
0.5000 0.5000 0.0000
0.2190 0.2190 0.2644
0.7810 0.7810 0.7356



## x
Tb8TmTh2 (PBE, optimized geometry); symmetry = C2/m; density of states at the Fermi level = 1.43 states/eV/atom
1.0
8.3345 -3.3121 0.0000
8.3345 3.3121 0.0000
-1.1580 0.0000 6.5404
Tb Tm Th
8 1 2
Direct
0.0912 0.0912 0.9042
0.1527 0.6742 0.5987
0.3026 0.3026 0.1845
0.3258 0.8473 0.4013
0.6742 0.1527 0.5987
0.6974 0.6974 0.8155
0.8473 0.3258 0.4013
0.9088 0.9088 0.0958
0.5000 0.5000 0.0000
0.2534 0.2534 0.6656
0.7466 0.7466 0.3344



x is favored, and the nearest alternative lies 19 meV per atom above it.